Record 1
# SeBr3

An optimized crystal structure of SeBr3 (PBE-GGA, the Alexandria database).

Summary:
Raw formation energy in eV/atom: 0.737

The structure in CIF format:
```
data_SeBr3
_chemical_formula_sum 'Se1 Br3'
_cell_length_a 4.6067
_cell_length_b 4.6067
_cell_length_c 4.6067
_cell_angle_alpha 90.00
_cell_angle_beta 90.00
_cell_angle_gamma 90.00
_space_group_name_H-M_alt 'P m -3 m'
_space_group_IT_number 221
_space_group_name_Hall '-P 4 2 3'
loop_
_atom_site_label
_atom_site_type_symbol
_atom_site_fract_x
_atom_site_fract_y
_atom_site_fract_z
Se1 Se 0.0000 0.0000 0.0000
Br1 Br 0.0000 0.5000 0.5000
```

Record 2
# Mn2BePt

An optimized crystal structure of Mn2BePt (PBE-GGA, the Alexandria database).

Summary:
Energy of formation from the pure elements in eV/atom: -0.043

The structure in CIF format:
```
data_Mn2BePt
_chemical_formula_sum 'Mn6 Be3 Pt3'
_cell_length_a 2.6736
_cell_length_b 2.6736
_cell_length_c 23.9247
_cell_angle_alpha 90.00
_cell_angle_beta 90.00
_cell_angle_gamma 120.00
_space_group_name_H-M_alt 'R 3 m'
_space_group_IT_number 160
_space_group_name_Hall 'R 3 -2"'
loop_
_atom_site_label
_atom_site_type_symbol
_atom_site_fract_x
_atom_site_fract_y
_atom_site_fract_z
Mn1 Mn 0.0000 0.0000 0.0000
Mn2 Mn 0.0000 0.0000 0.2525
Be1 Be 0.0000 0.0000 0.5063
Pt1 Pt 0.0000 0.0000 0.7624
```

Record 3
# PmGeP2

An optimized crystal structure of PmGeP2 (PBE-GGA, the Alexandria database).

Summary:
Energy of formation from the pure elements in eV/atom: -0.176

The structure in CIF format:
```
data_PmGeP2
_chemical_formula_sum 'Pm3 Ge3 P6'
_cell_length_a 4.3941
_cell_length_b 4.3941
_cell_length_c 21.5242
_cell_angle_alpha 90.00
_cell_angle_beta 90.00
_cell_angle_gamma 120.00
_space_group_name_H-M_alt 'R -3 m'
_space_group_IT_number 166
_space_group_name_Hall '-R 3 2"'
loop_
_atom_site_label
_atom_site_type_symbol
_atom_site_fract_x
_atom_site_fract_y
_atom_site_fract_z
Pm1 Pm 0.0000 0.0000 0.0000
Ge1 Ge 0.0000 0.0000 0.5000
P1 P 0.0000 0.0000 0.3982
```